No. 1
A relaxed structure of Ba5Cd2Sb4O2. Source: OQMD via LeMat-Bulk, functional PBE.

a = 17.398 Å, b = 4.979 Å, c = 12.346 Å
α = 90.00°, β = 132.61°, γ = 90.00°
Space group C2/m (No. 12)
Symmetry-distinct sites (fractional):
Ba: 0.000 0.000 0.000 x2
Ba: 0.026 0.000 0.703 x4
Ba: 0.201 0.500 0.350 x4
Cd: 0.239 0.500 0.878 x4
Sb: 0.107 0.500 0.566 x4
Sb: 0.134 0.500 0.990 x4
O: 0.129 0.000 0.313 x4

=====

No. 2
A relaxed structure of TbTlIn. Source: OQMD via LeMat-Bulk, functional PBE.

For the size of the total moment, the calculation gives 0.01 μB per cell. The offset from the most stable computed form is 265.7 meV/atom.

a = 7.089 Å, b = 7.089 Å, c = 7.089 Å
α = 90.00°, β = 90.00°, γ = 90.00°
Space group F-43m (No. 216)
Symmetry-distinct sites (fractional):
Tb: 0.000 0.000 0.000 x4
Tl: 0.250 0.250 0.750 x4
In: 0.000 0.000 0.500 x4

=====

No. 3
A relaxed structure of MoSe2. Source: OQMD via LeMat-Bulk, functional PBE.

For the size of the total moment, the calculation gives 0.00 μB per cell.

a = 3.313 Å, b = 5.739 Å, c = 21.991 Å
α = 90.00°, β = 93.10°, γ = 90.00°
Space group C2 (No. 5)
Symmetry-distinct sites (fractional):
Mo: 0.000 0.000 0.000 x2
Se: 0.027 0.333 0.076 x4

=====

No. 4
A relaxed structure of Zr2Ag2SeS3. Source: OQMD via LeMat-Bulk, functional PBE.

For the size of the total moment, the calculation gives 2.90 μB per cell.

a = 12.614 Å, b = 5.592 Å, c = 6.112 Å
α = 90.00°, β = 115.45°, γ = 90.00°
Space group C2 (No. 5)
Symmetry-distinct sites (fractional):
Zr: 0.152 0.000 0.396 x4
Ag: 0.115 0.490 0.782 x4
Se: 0.000 0.226 0.000 x2
S: 0.000 0.813 0.500 x2
S: 0.233 0.701 0.211 x4

=====

No. 5
A relaxed structure of Pu3PaSb5. Source: OQMD via LeMat-Bulk, functional PBE.

For the size of the total moment, the calculation gives 30.23 μB per cell.

a = 9.4968 Å, b = 9.4968 Å, c = 6.1997 Å
α = 90.00°, β = 90.00°, γ = 120.00°
Space group P6_3/mcm (No. 193)
Symmetry-distinct sites (fractional):
Pu: 0.0000 0.3849 0.2500 x6
Pa: 0.0000 0.0000 0.0000 x2
Sb: 0.0000 0.2807 0.7500 x6
Sb: 0.3333 0.6667 0.0000 x4

=====

No. 6
A relaxed structure of CoNiAgB. Source: OQMD via LeMat-Bulk, functional PBE.

For the size of the total moment, the calculation gives 0.05 μB per cell. The offset from the most stable computed form is 0.0 meV/atom.

a = 5.659 Å, b = 5.659 Å, c = 5.659 Å
α = 90.00°, β = 90.00°, γ = 90.00°
Space group F-43m (No. 216)
Symmetry-distinct sites (fractional):
Co: 0.000 0.000 0.000 x4
Ni: 0.000 0.000 0.500 x4
Ag: 0.250 0.250 0.250 x4
B: 0.250 0.250 0.750 x4

=====

No. 7
A relaxed structure of LuGeTe3Au. Source: OQMD via LeMat-Bulk, functional PBE.

For the size of the total moment, the calculation gives 0.01 μB per cell. The offset from the most stable computed form is 18.1 meV/atom.

a = 4.129 Å, b = 15.177 Å, c = 11.220 Å
α = 90.00°, β = 90.00°, γ = 90.00°
Space group Cmcm (No. 63)
Symmetry-distinct sites (fractional):
Lu: 0.000 0.000 0.000 x4
Ge: 0.000 0.170 0.250 x4
Te: 0.000 0.088 0.750 x4
Te: 0.000 0.356 0.548 x8
Au: 0.000 0.464 0.750 x4

=====

No. 8
A relaxed structure of Tb2ErCu4Sn2Ge2. Source: OQMD via LeMat-Bulk, functional PBE.

For the size of the total moment, the calculation gives 0.01 μB per cell. The offset from the most stable computed form is 0.0 meV/atom.

a = 4.370 Å, b = 6.685 Å, c = 14.484 Å
α = 90.00°, β = 90.00°, γ = 90.00°
Space group Immm (No. 71)
Symmetry-distinct sites (fractional):
Tb: 0.000 0.000 0.126 x4
Er: 0.000 0.500 0.000 x2
Cu: 0.000 0.189 0.341 x8
Sn: 0.000 0.500 0.217 x4
Ge: 0.000 0.308 0.500 x4

=====

No. 9
A relaxed structure of LaTmNi. Source: OQMD via LeMat-Bulk, functional PBE.

For the size of the total moment, the calculation gives 0.00 μB per cell. As for the formation enthalpy at 0 K: -0.129 eV/atom. The offset from the most stable computed form is 0.0 meV/atom.

a = 6.826 Å, b = 6.826 Å, c = 6.826 Å
α = 90.00°, β = 90.00°, γ = 90.00°
Space group F-43m (No. 216)
Symmetry-distinct sites (fractional):
La: 0.000 0.000 0.000 x4
Tm: 0.000 0.000 0.500 x4
Ni: 0.250 0.250 0.250 x4

=====

No. 10
A relaxed structure of KGeTe4Au3. Source: OQMD via LeMat-Bulk, functional PBE.

a = 6.862 Å, b = 6.862 Å, c = 6.862 Å
α = 90.00°, β = 90.00°, γ = 90.00°
Space group P-43m (No. 215)
Symmetry-distinct sites (fractional):
K: 0.000 0.000 0.000 x1
Ge: 0.500 0.500 0.500 x1
Te: 0.280 0.280 0.280 x4
Au: 0.000 0.500 0.500 x3

=====

No. 11
A relaxed structure of Hf4HgPbN2. Source: OQMD via LeMat-Bulk, functional PBE.

For the size of the total moment, the calculation gives 0.00 μB per cell.

a = 3.2917 Å, b = 3.2917 Å, c = 14.5766 Å
α = 90.00°, β = 90.00°, γ = 120.00°
Space group P-6m2 (No. 187)
Symmetry-distinct sites (fractional):
Hf: 0.0000 0.0000 0.1635 x2
Hf: 0.6667 0.3333 0.3295 x2
Hg: 0.6667 0.3333 0.0000 x1
Pb: 0.0000 0.0000 0.5000 x1
N: 0.3333 0.6667 0.2433 x2

=====

No. 12
A relaxed structure of TmMgAuS3. Source: OQMD via LeMat-Bulk, functional PBE.

For the size of the total moment, the calculation gives 0.00 μB per cell. The offset from the most stable computed form is 0.0 meV/atom.

a = 7.457 Å, b = 3.765 Å, c = 8.964 Å
α = 90.00°, β = 102.10°, γ = 90.00°
Space group P2_1/m (No. 11)
Symmetry-distinct sites (fractional):
Tm: 0.172 0.250 0.188 x2
Mg: 0.333 0.750 0.847 x2
Au: 0.371 0.750 0.489 x2
S: 0.097 0.250 0.864 x2
S: 0.162 0.250 0.479 x2
S: 0.420 0.750 0.143 x2

=====

No. 13
A relaxed structure of AgPdSO. Source: OQMD via LeMat-Bulk, functional PBE.

The offset from the most stable computed form is 54.4 meV/atom.

a = 3.3554 Å, b = 3.3554 Å, c = 12.8416 Å
α = 90.00°, β = 90.00°, γ = 120.00°
Space group P6_3mc (No. 186)
Symmetry-distinct sites (fractional):
Ag: 0.0000 0.0000 0.0000 x2
Pd: 0.3333 0.6667 0.2545 x2
S: 0.3333 0.6667 0.6493 x2
O: 0.0000 0.0000 0.3338 x2

=====

No. 14
A relaxed structure of BaTmO3. Source: OQMD via LeMat-Bulk, functional PBE.

For the size of the total moment, the calculation gives 3.99 μB per cell.

a = 6.128 Å, b = 8.650 Å, c = 6.128 Å
α = 90.00°, β = 90.00°, γ = 90.00°
Space group Pnma (No. 62)
Symmetry-distinct sites (fractional):
Ba: 0.018 0.250 0.004 x4
Tm: 0.000 0.000 0.500 x4
O: 0.013 0.750 0.440 x4
O: 0.223 0.530 0.778 x8

=====

No. 15
A relaxed structure of TmPbF6. Source: OQMD via LeMat-Bulk, functional PBE.

For the size of the total moment, the calculation gives 2.61 μB per cell.

a = 5.0886 Å, b = 5.0886 Å, c = 14.7141 Å
α = 90.00°, β = 90.00°, γ = 120.00°
Space group R-3 (No. 148, hexagonal axes)
Symmetry-distinct sites (fractional):
Tm: 0.0000 0.0000 0.0000 x3
Pb: 0.0000 0.0000 0.5000 x3
F: 0.0132 0.7040 0.7483 x18

=====

No. 16
A relaxed structure of InAgPO. Source: OQMD via LeMat-Bulk, functional PBE.

The offset from the most stable computed form is 0.0 meV/atom.

a = 3.379 Å, b = 6.931 Å, c = 6.709 Å
α = 90.00°, β = 90.00°, γ = 90.00°
Space group Pmc2_1 (No. 26)
Symmetry-distinct sites (fractional):
In: 0.000 0.175 0.000 x2
Ag: 0.500 0.351 0.563 x2
P: 0.000 0.173 0.382 x2
O: 0.500 0.334 0.911 x2

=====

No. 17
A relaxed structure of MgCuAsPd. Source: OQMD via LeMat-Bulk, functional PBE.

The offset from the most stable computed form is 0.0 meV/atom.

a = 6.283 Å, b = 6.283 Å, c = 6.283 Å
α = 90.00°, β = 90.00°, γ = 90.00°
Space group F-43m (No. 216)
Symmetry-distinct sites (fractional):
Mg: 0.000 0.000 0.000 x4
Cu: 0.250 0.250 0.750 x4
As: 0.000 0.000 0.500 x4
Pd: 0.250 0.250 0.250 x4

=====

No. 18
A relaxed structure of PrZnInTe3. Source: OQMD via LeMat-Bulk, functional PBE.

For the size of the total moment, the calculation gives 0.01 μB per cell. The offset from the most stable computed form is 0.0 meV/atom.

a = 11.934 Å, b = 4.423 Å, c = 15.321 Å
α = 90.00°, β = 90.00°, γ = 90.00°
Space group Pnma (No. 62)
Symmetry-distinct sites (fractional):
Pr: 0.017 0.250 0.241 x4
Zn: 0.235 0.250 0.718 x4
In: 0.217 0.750 0.506 x4
Te: 0.050 0.250 0.617 x4
Te: 0.094 0.750 0.104 x4
Te: 0.237 0.750 0.827 x4

=====

No. 19
A relaxed structure of YSnAuS3. Source: OQMD via LeMat-Bulk, functional PBE.

For the size of the total moment, the calculation gives 0.00 μB per cell. The offset from the most stable computed form is 118.7 meV/atom.

a = 7.633 Å, b = 3.989 Å, c = 9.657 Å
α = 90.00°, β = 107.05°, γ = 90.00°
Space group P2_1/m (No. 11)
Symmetry-distinct sites (fractional):
Y: 0.197 0.250 0.164 x2
Sn: 0.216 0.750 0.703 x2
Au: 0.363 0.750 0.425 x2
S: 0.074 0.250 0.869 x2
S: 0.170 0.250 0.455 x2
S: 0.449 0.750 0.193 x2

=====

No. 20
A relaxed structure of CsTa3P5. Source: OQMD via LeMat-Bulk, functional PBE.

For the size of the total moment, the calculation gives 0.05 μB per cell.

a = 5.6190 Å, b = 5.6190 Å, c = 7.9697 Å
α = 90.00°, β = 90.00°, γ = 120.00°
Space group P6/mmm (No. 191)
Symmetry-distinct sites (fractional):
Cs: 0.0000 0.0000 0.0000 x1
Ta: 0.0000 0.5000 0.5000 x3
P: 0.0000 0.0000 0.5000 x1
P: 0.3333 0.6667 0.2546 x4

=====

No. 21
A relaxed structure of TbYAlTe3. Source: OQMD via LeMat-Bulk, functional PBE.

For the size of the total moment, the calculation gives 0.02 μB per cell.

a = 4.097 Å, b = 15.378 Å, c = 10.480 Å
α = 90.00°, β = 90.00°, γ = 90.00°
Space group Cmcm (No. 63)
Symmetry-distinct sites (fractional):
Tb: 0.000 0.219 0.250 x4
Y: 0.000 0.000 0.000 x4
Al: 0.000 0.476 0.750 x4
Te: 0.000 0.121 0.750 x4
Te: 0.000 0.348 0.547 x8

=====

No. 22
A relaxed structure of Sc5OsPd4. Source: OQMD via LeMat-Bulk, functional PBE.

For the size of the total moment, the calculation gives 0.00 μB per cell. As for the formation enthalpy at 0 K: -0.840 eV/atom.

a = 3.272 Å, b = 3.272 Å, c = 16.592 Å
α = 90.00°, β = 90.00°, γ = 90.00°
Space group P4/mmm (No. 123)
Symmetry-distinct sites (fractional):
Sc: 0.000 0.000 0.000 x1
Sc: 0.000 0.000 0.203 x2
Sc: 0.000 0.000 0.407 x2
Os: 0.500 0.500 0.500 x1
Pd: 0.500 0.500 0.102 x2
Pd: 0.500 0.500 0.302 x2

=====

Calculated total energy across the listed records, respectively: -4.22, -3.35, -6.62, -5.54, -8.73, -4.88, -4.16, -4.77, -5.12, -3.18, -8.49, -4.83, -4.40, -7.03, -5.35, -4.33, -4.06, -3.82, -5.27, -7.38, -4.97, -7.20 eV per atom.